Th4Sc: optimized geometry, PBE-GGA.

```
Th4Sc
1.0
3.5347 0.0000 0.0000
-1.7673 3.0611 0.0000
0.0000 0.0000 42.4995
Th Sc
12 3
Direct
0.0000 0.0000 0.1021
0.0000 0.0000 0.2990
0.0000 0.0000 0.7010
0.0000 0.0000 0.8979
0.3333 0.6667 0.3677
0.3333 0.6667 0.5646
0.3333 0.6667 0.7687
0.3333 0.6667 0.9657
0.6667 0.3333 0.0343
0.6667 0.3333 0.2313
0.6667 0.3333 0.4354
0.6667 0.3333 0.6323
0.0000 0.0000 0.5000
0.3333 0.6667 0.1667
0.6667 0.3333 0.8333
```

Output
As for the magnetization: 0.0 μB/cell. For the formation energy, the calculation gives 0.2 eV/f.u. The value obtained for the excess energy over the best structure of this formula in the dataset is 0 meV/atom. The final energy comes out at -107.6 eV per cell.

***

NdBAs: optimized geometry, PBE-GGA.

```
NdBAs
1.0
11.2223 0.0000 0.0000
0.0000 3.2144 0.0000
-0.2984 0.0000 7.2289
Nd B As
4 4 4
Direct
0.1399 0.0000 0.2946
0.3601 0.5000 0.7054
0.6399 0.5000 0.2946
0.8601 0.0000 0.7054
0.2403 0.0000 0.9573
0.2597 0.5000 0.0427
0.7403 0.5000 0.9573
0.7597 0.0000 0.0427
0.1283 0.0000 0.7104
0.3717 0.5000 0.2896
0.6283 0.5000 0.7104
0.8717 0.0000 0.2896
```

Output
As for the magnetization: 0.0 μB/cell. For the formation energy, the calculation gives -1.1 eV/f.u. The final energy comes out at -68.9 eV per cell.

***

AlSnTe2: optimized geometry, PBE-GGA.

```
AlSnTe2
1.0
7.5013 0.0000 0.0000
0.0000 7.5013 0.0000
0.0000 0.0000 7.5013
Al Sn Te
4 4 8
Direct
0.0000 0.0000 0.0000
0.0000 0.5000 0.5000
0.5000 0.0000 0.5000
0.5000 0.5000 0.0000
0.0000 0.0000 0.5000
0.0000 0.5000 0.0000
0.5000 0.0000 0.0000
0.5000 0.5000 0.5000
0.2500 0.2500 0.2500
0.2500 0.2500 0.7500
0.2500 0.7500 0.2500
0.2500 0.7500 0.7500
0.7500 0.2500 0.2500
0.7500 0.2500 0.7500
0.7500 0.7500 0.2500
0.7500 0.7500 0.7500
```

Output
As for the magnetization: 0.0 μB/cell. The calculation puts the formation energy from raw total energies at 81 meV per atom. The final energy comes out at -54.8 eV per cell.

***

MgNiRu: optimized geometry, PBE-GGA.

```
MgNiRu
1.0
8.0620 0.0000 0.0000
0.0000 3.9537 0.0000
-1.1411 0.0000 5.2511
Mg Ni Ru
4 4 4
Direct
0.0000 0.0000 0.0000
0.1854 0.5000 0.3186
0.5000 0.5000 0.0000
0.6854 0.0000 0.3186
0.1730 0.5000 0.8148
0.3470 0.0000 0.1513
0.6730 0.0000 0.8148
0.8470 0.5000 0.1513
0.0177 0.0000 0.5231
0.3399 0.0000 0.6537
0.5177 0.5000 0.5231
0.8399 0.5000 0.6537
```

Output
As for the magnetization: 0.0 μB/cell. For the formation energy, the calculation gives 0.1 eV/f.u. The value obtained for the excess energy over the best structure of this formula in the dataset is 72 meV/atom. The final energy comes out at -66.3 eV per cell.

***

NdPRh2: optimized geometry, PBE-GGA.

```
NdPRh2
1.0
5.5548 0.0000 0.0000
0.0000 7.2733 0.0000
0.0000 0.0000 4.0426
Nd P Rh
2 2 4
Direct
0.0000 0.0000 0.0000
0.5000 0.5000 0.0000
0.0000 0.5000 0.5000
0.5000 0.0000 0.5000
0.2500 0.2500 0.5000
0.2500 0.7500 0.5000
0.7500 0.2500 0.5000
0.7500 0.7500 0.5000
```

Output
As for the magnetization: 0.0 μB/cell. For the formation energy, the calculation gives -3.0 eV/f.u. The final energy comes out at -55.8 eV per cell.

***

TbPm2YSc4: optimized geometry, PBE-GGA.

```
TbPm2YSc4
1.0
5.2185 0.0000 0.0000
0.0000 5.2185 0.0000
0.0000 0.0000 9.7210
Tb Pm Y Sc
1 2 1 4
Direct
0.0000 0.0000 0.0000
0.0000 0.0000 0.5000
0.5000 0.5000 0.0000
0.5000 0.5000 0.5000
0.0000 0.5000 0.2492
0.0000 0.5000 0.7508
0.5000 0.0000 0.2492
0.5000 0.0000 0.7508
```

Output
As for the magnetization: 0.0 μB/cell. For the formation energy, the calculation gives 1.0 eV/f.u. The final energy comes out at -44.9 eV per cell.